# 1
Density functional theory data (PBE) for an optimized crystal structure of U2Sn2AuS2.

Results
The formation energy (no corrections) is -0.306 eV/atom. The space group is P-3m1, No. 164.

a b c (Å): 3.3634 3.3634 17.6058
angles (deg): 90.00 90.00 120.00
Fractional coordinates of all 7 atoms:
U  0.3333  0.6667  0.1943
U  0.6667  0.3333  0.8057
Sn  0.0000  0.0000  0.3487
Sn  0.0000  0.0000  0.6513
Au  0.0000  0.0000  0.5000
S  0.3333  0.6667  0.9056
S  0.6667  0.3333  0.0944

# 2
Density functional theory data (PBE) for an optimized crystal structure of Ce2P4Pd3.

Results
The energy of formation comes out at -8.07 eV per formula unit. The space group is Cmce, No. 64.

a b c (Å): 8.0131 8.0131 7.3522
angles (deg): 90.00 90.00 138.28
Fractional coordinates of all 18 atoms:
Ce  0.1152  0.8848  0.9158
Ce  0.3848  0.6152  0.4158
Ce  0.6152  0.3848  0.5842
Ce  0.8848  0.1152  0.0842
P  0.1896  0.8104  0.5479
P  0.2059  0.2941  0.7500
P  0.2941  0.2059  0.2500
P  0.3104  0.6896  0.0479
P  0.6896  0.3104  0.9521
P  0.7059  0.7941  0.7500
P  0.7941  0.7059  0.2500
P  0.8104  0.1896  0.4521
Pd  0.0000  0.0000  0.5000
Pd  0.0424  0.4576  0.7500
Pd  0.4576  0.0424  0.2500
Pd  0.5000  0.5000  0.0000
Pd  0.5424  0.9576  0.7500
Pd  0.9576  0.5424  0.2500

Number 1: spin magnetization 0.38 μB per atom. Number 2: spin magnetization 0.00 μB per atom.